The following is a GGA-PBE calculation of Dy2Er5 after structural relaxation, from the Alexandria database.

Cell: 16.065 3.500 8.213 Å, 90.00 94.25 90.00°
Fractional positions:
Dy1 0.153 0.000 0.166
Dy2 0.347 0.500 0.834
Dy3 0.653 0.500 0.166
Dy4 0.847 0.000 0.834
Er1 0.000 0.000 0.500
Er2 0.042 0.500 0.840
Er3 0.173 0.500 0.554
Er4 0.327 0.000 0.446
Er5 0.458 0.000 0.160
Er6 0.500 0.500 0.500
Er7 0.542 0.000 0.840
Er8 0.673 0.000 0.554
Er9 0.827 0.500 0.446
Er10 0.958 0.500 0.160

Results
* formation energy: 0.2416 eV per atom
* magnetic moment: 0.00 μB/cell
* space group: C2/m
* N(E_F): 17.3 states/eV/cell